[1]
## ReTc2Pt (PBE-GGA)

Data for crystalline ReTc2Pt at its relaxed geometry.

abc: 5.8554 5.8554 10.2442
angles: 90.00 90.00 90.00
Sites, in units of the cell vectors:
Re (0.0000, 0.0000, 0.0000)
Re (0.0000, 0.5000, 0.2500)
Re (0.5000, 0.0000, 0.7500)
Re (0.5000, 0.5000, 0.5000)
Tc (0.2444, 0.2500, 0.1250)
Tc (0.2500, 0.7444, 0.3750)
Tc (0.2500, 0.7556, 0.8750)
Tc (0.2556, 0.2500, 0.6250)
Tc (0.7444, 0.7500, 0.6250)
Tc (0.7500, 0.2444, 0.8750)
Tc (0.7500, 0.2556, 0.3750)
Tc (0.7556, 0.7500, 0.1250)
Pt (0.0000, 0.0000, 0.5000)
Pt (0.0000, 0.5000, 0.7500)
Pt (0.5000, 0.0000, 0.2500)
Pt (0.5000, 0.5000, 0.0000)

Values from the calculation:
Total moment ... 0.0 μB per formula unit
Formation energy ... 462 kJ/mol of formula units
ΔE to the lowest computed polymorph ... 1301 meV per atom
Theoretical density ... 10.92 Mg/m³
E_tot ... -137.734 eV per cell

***

[2]
## YSc2AlO (PBE-GGA)

Data for crystalline YSc2AlO at its relaxed geometry.

abc: 4.4255 4.4255 4.7159
angles: 90.00 90.00 90.00
Sites, in units of the cell vectors:
Y (0.0000, 0.0000, 0.0000)
Sc (0.0000, 0.5000, 0.5000)
Sc (0.5000, 0.0000, 0.5000)
Al (0.5000, 0.5000, 0.0000)
O (0.0000, 0.0000, 0.5000)

Values from the calculation:
Total moment ... 0.0 μB per formula unit
Energy relative to the elements, uncorrected ... -7.06 eV per formula unit
Theoretical density ... 3.99 Mg/m³
E_tot ... -34.883 eV per cell

***

What is the formula in the first record? ReTc2Pt